A plane-wave DFT calculation with PBE-GGA was carried out for Pa3Si4Ru4 after structural relaxation.

Properties
- Total magnetic moment: 0.00 μB per formula unit
- Energy: -8.67 eV per atom
- Calculated volume: 382.5 Å³/cell

Unit cell a=4.040 b=6.778 c=13.969 alpha=90.00 beta=90.00 gamma=90.00
Space group Immm (No. 71)
Inequivalent atoms, fractional coordinates:
Pa  0.000  0.000  0.000 [2 per cell]
Pa  0.000  0.500  0.132 [4 per cell]
Si  0.000  0.000  0.209 [4 per cell]
Si  0.000  0.191  0.500 [4 per cell]
Ru  0.000  0.290  0.328 [8 per cell]